## LaDy6Tm3Sc2 (PBE)

Data for a geometry-optimized LaDy6Tm3Sc2 structure.

```
LaDy6Tm3Sc2
1.0
6.057 0.000 0.010
-3.027 5.247 0.010
-1.024 -1.773 11.430
La Dy Tm Sc
1 6 3 2
Direct
0.000 0.000 0.000
0.916 0.580 0.750
0.747 0.747 0.250
0.084 0.420 0.250
0.580 0.916 0.750
0.253 0.253 0.750
0.420 0.084 0.250
0.167 0.833 0.500
0.833 0.167 0.500
0.500 0.500 0.500
0.333 0.667 0.000
0.667 0.333 0.000
```

Results
**ΔE_f**: 0.0424 eV per atom
**SG**: C2/m, No. 12

---

## SrCu3W (PBE)

Data for a geometry-optimized SrCu3W structure.

```
SrCu3W
1.0
-3.294 -0.750 3.444
-1.796 -3.698 -2.523
3.032 -3.005 2.246
Sr Cu W
1 3 1
Direct
0.500 0.500 0.500
0.000 0.500 0.000
0.000 0.000 0.500
0.500 0.000 0.000
0.000 0.000 0.000
```

Results
**Energy above the most stable polymorph in this dataset**: 0.00 eV/f.u.
**ΔE_f**: 0.8038 eV per atom
**SG**: Pm-3m, No. 221

---

## InHgRh2 (PBE)

Data for a geometry-optimized InHgRh2 structure.

```
InHgRh2
1.0
8.648 -1.541 -0.003
8.648 1.541 -0.003
8.375 0.000 2.653
In Hg Rh
1 1 2
Direct
0.000 0.000 0.000
0.500 0.500 0.500
0.747 0.747 0.747
0.253 0.253 0.253
```

Results
**ΔE_f**: 0.0078 eV per atom
**SG**: R-3m, No. 166

---

## KTiPb2 (PBE)

Data for a geometry-optimized KTiPb2 structure.

```
KTiPb2
1.0
3.484 0.000 0.000
1.742 3.017 0.000
1.742 1.006 10.571
Pb K Ti
2 1 1
Direct
0.739 0.739 0.783
0.261 0.261 0.217
0.500 0.500 0.500
0.000 0.000 0.000
```

Results
**Energy above the most stable polymorph in this dataset**: 0.46 eV/f.u.
**ΔE_f**: 0.0936 eV per atom
**SG**: R-3m, No. 166

---

## Rb2ErNpTe4 (PBE)

Data for a geometry-optimized Rb2ErNpTe4 structure.

```
Rb2ErNpTe4
1.0
4.546 0.000 0.000
0.000 7.895 0.138
0.000 -2.781 8.504
Rb Er Np Te
2 1 1 4
Direct
0.500 0.000 0.500
0.000 0.500 0.500
0.500 0.500 0.000
0.000 0.000 0.000
0.500 0.239 0.200
0.500 0.761 0.800
0.000 0.273 0.801
0.000 0.727 0.199
```

Results
**SG**: P2/m, No. 10
**Raw formation energy**: -1.115 eV/atom

---

## Zn4PPt (PBE)

Data for a geometry-optimized Zn4PPt structure.

```
Zn4PPt
1.0
-2.542 -3.096 3.039
-4.246 -2.168 -1.599
-0.099 -4.936 -0.951
Zn P Pt
4 1 1
Direct
0.876 0.375 0.375
0.375 0.375 0.876
0.375 0.876 0.375
0.375 0.375 0.375
0.750 0.750 0.750
0.000 0.000 0.000
```

Results
**ΔE_f**: 0.1155 eV per atom
**SG**: F-43m, No. 216

---

## Bi2SbIrS (PBE)

Data for a geometry-optimized Bi2SbIrS structure.

```
Bi2SbIrS
1.0
5.769 0.000 0.000
0.000 4.779 0.000
0.000 0.000 5.769
Sb S Ir Bi
1 1 1 2
Direct
0.000 0.000 0.000
0.000 0.500 0.000
0.500 0.500 0.500
0.000 0.000 0.500
0.500 0.000 0.000
```

Results
**SG**: P4/mmm, No. 123
**Raw formation energy**: 1.428 eV/atom

---

## ZrPb3 (PBE)

Data for a geometry-optimized ZrPb3 structure.

```
ZrPb3
1.0
3.425 -0.017 0.000
-0.746 3.343 0.000
0.000 0.000 9.721
Pb Zr
3 1
Direct
0.000 0.000 0.023
0.500 0.500 0.750
0.000 0.000 0.477
0.500 0.500 0.250
```

Results
**ΔE_f**: 0.0111 eV per atom
**SG**: Cmmm, No. 65

---

| no. | magnetic moment (μB per formula unit) |
| --- | --- |
| 1 | 0.0 |
| 2 | 0.0 |
| 3 | 0.0 |
| 4 | 0.8 |
| 5 | 4.0 |
| 6 | 0.0 |
| 7 | 0.4 |
| 8 | 0.0 |